No. 1
18
Lattice="-2.904 2.095 3.829 1.773 -4.761 4.301 5.367 2.453 3.080" Properties=species:S:1:pos:R:3 comment="Ca3Mn2N4 | Alexandria | PBEsol | optimized geometry" raw_formation_energy_ev_per_atom=-0.832 de_polymorph_ev_per_atom=0.066 pbc="T T T"
Ca 1.776 -3.108 6.771
Ca 3.198 0.080 4.528
Ca 1.283 -3.430 3.417
Ca 1.038 -0.294 6.683
Ca 2.953 3.216 7.793
Ca 2.459 2.895 4.439
Mn 3.799 0.503 7.291
Mn 0.436 -0.717 3.919
Mn -0.109 2.151 5.526
Mn 4.345 -2.365 5.684
N 0.888 0.931 4.627
N 4.212 1.876 6.014
N 3.783 1.495 2.498
N 2.356 0.828 8.342
N 0.453 -1.709 8.712
N 1.880 -1.042 2.869
N 3.347 -1.144 6.584
N 0.023 -2.090 5.196



No. 2
13
Lattice="4.900 0.000 0.000 0.000 6.257 -0.079 0.000 -1.602 6.614" Properties=species:S:1:pos:R:3 comment="Ca5Mn2N6 | Alexandria | PBEsol | optimized geometry" raw_formation_energy_ev_per_atom=-0.853 pbc="T T T"
Ca 0.000 1.706 0.448
Ca 0.000 1.523 4.050
Ca 2.450 3.155 5.893
Ca 2.450 3.202 2.564
Ca 2.450 0.062 2.305
Mn 0.000 4.593 1.337
Mn 2.450 0.027 5.257
N 0.000 2.622 6.308
N 2.450 4.912 4.283
N 2.450 1.482 4.223
N 2.450 1.612 0.345
N 0.000 3.184 2.323
N 0.000 -0.078 2.038



No. 3
10
Lattice="4.941 0.000 0.000 2.470 5.357 0.046 2.470 2.080 5.626" Properties=species:S:1:pos:R:3 comment="Ca2MnN2 | Alexandria | PBEsol | optimized geometry" raw_formation_energy_ev_per_atom=-0.863 pbc="T T T"
N 4.941 4.558 1.162
N 4.941 2.879 4.510
N 7.411 5.360 3.570
N 2.470 2.078 2.102
Ca 4.941 2.165 2.166
Ca 4.941 5.272 3.506
Ca 7.411 3.164 4.354
Ca 2.470 4.273 1.318
Mn 2.470 0.960 0.727
Mn 7.411 6.477 4.945



No. 4
18
Lattice="-0.976 -5.701 -0.772 4.004 -2.375 -3.782 6.316 -3.117 4.596" Properties=species:S:1:pos:R:3 comment="Ca4MnN4 | Alexandria | PBEsol | optimized geometry" raw_formation_energy_ev_per_atom=-0.901 de_polymorph_ev_per_atom=0.024 pbc="T T T"
Ca 7.550 -5.498 -0.935
Ca 2.492 -6.348 -2.012
Ca 3.115 -3.557 -3.062
Ca 4.847 -7.097 0.183
Ca 6.229 -7.637 3.104
Ca 4.497 -4.096 -0.141
Ca 6.852 -4.845 2.055
Ca 1.794 -5.696 0.977
N 2.198 -4.065 -0.827
N 7.146 -7.129 0.869
N 5.029 -5.719 -1.994
N 5.753 -9.107 -0.636
N 3.591 -2.086 0.678
N 4.315 -5.474 2.037
N 8.126 -10.076 0.354
N 1.218 -1.118 -0.312
Mn 7.453 -8.501 -0.290
Mn 1.891 -2.692 0.332



No. 5
5
Lattice="-1.660 2.961 -0.957 -3.376 -1.769 0.385 -0.157 1.097 3.667" Properties=species:S:1:pos:R:3 comment="CaMnNO2 | Alexandria | PBEsol | optimized geometry" raw_formation_energy_ev_per_atom=-1.516 pbc="T T T"
O -0.078 0.549 1.834
O -1.688 -0.884 0.193
N -0.830 1.481 -0.479
Mn 0.000 0.000 0.000
Ca -2.597 1.145 1.547



No. 6
5
Lattice="4.366 0.000 0.000 0.000 4.366 0.000 0.000 0.000 6.162" Properties=species:S:1:pos:R:3 comment="CaMnTeN2 | Alexandria | PBEsol | optimized geometry" raw_formation_energy_ev_per_atom=1.434 pbc="T T T"
Mn 2.183 2.183 3.081
N 0.000 2.183 0.000
N 2.183 0.000 0.000
Ca 0.000 0.000 0.000
Te 0.000 0.000 3.081